This record from the Alexandria database describes a relaxed CaNb2Te crystal. The functional is PBE.

Lattice parameters (Å, degrees): 4.1564 4.1564 21.5655 90.00 90.00 90.00
Last column: nearest neighbours and their distance in Å.
Space group I-42d (No. 122)
Asymmetric unit:
Ca1 0.0000 0.0000 0.0000 x4  4 Te 2.94, 4 Nb 3.11
Nb1 0.2245 0.2500 0.6250 x8  4 Nb 2.79-3.09, 2 Te 3.04, 2 Ca 3.11
Te1 0.0000 0.0000 0.5000 x4  4 Ca 2.94, 4 Nb 3.04

Summary:
As for the raw formation energy: 0.2884 eV per atom. Its total energy is -6.032 eV per atom. For the density of states at the Fermi level, the calculation gives 0.75 states/eV per atom.